Entry 1:
The following is a DFT calculation (GGA-PBE) of crystalline NpTl6I12 at its relaxed geometry.

Properties
total magnetization = 0.086 μB/atom
symmetry = R-3, No. 148
total energy = -2.979 eV per atom
energy relative to the elements, uncorrected = -0.5716 eV per atom

Lattice parameters (Å, degrees): 9.933 9.933 9.933 90.22 90.22 90.22
Site moments in Bohr magnetons follow the coordinates.
Atoms (fractional coordinates):
Np: 0.000 0.000 0.000  2.88
Tl: 0.167 0.384 0.677  -0.01
Tl: 0.616 0.323 0.833  -0.01
Tl: 0.323 0.833 0.616  -0.01
Tl: 0.833 0.616 0.323  -0.01
Tl: 0.384 0.677 0.167  -0.01
Tl: 0.677 0.167 0.384  -0.01
I: 0.416 0.174 0.596  -0.03
I: 0.174 0.596 0.416  -0.03
I: 0.596 0.416 0.174  -0.03
I: 0.584 0.826 0.404  -0.03
I: 0.826 0.404 0.584  -0.03
I: 0.404 0.584 0.826  -0.03
I: 0.003 0.997 0.705  -0.11
I: 0.295 0.997 0.003  -0.11
I: 0.003 0.295 0.997  -0.11
I: 0.997 0.003 0.295  -0.11
I: 0.705 0.003 0.997  -0.11
I: 0.997 0.705 0.003  -0.11

---

Entry 2:
The following is a DFT calculation (GGA-PBE) of crystalline PuVOsRu at its relaxed geometry.

Properties
total magnetization = 1.255 μB/atom
symmetry = F-43m, No. 216
total energy = -10.949 eV per atom
formation energy from the elements = 40 meV per atom

Lattice parameters (Å, degrees): 4.536 4.536 4.536 60.00 60.00 60.00
Site moments in Bohr magnetons follow the coordinates.
Atoms (fractional coordinates):
Ru: 0.250 0.250 0.250  -0.41
V: 0.500 0.500 0.500  0.92
Os: 0.750 0.750 0.750  -0.33
Pu: 0.000 0.000 0.000  4.64

---

Entry 3:
The following is a DFT calculation (GGA-PBE) of crystalline Tl2ReIr at its relaxed geometry.

Properties
total magnetization = 0.000 μB/atom
symmetry = Pm, No. 6
total energy = -6.057 eV per atom
formation energy from the elements = 453 meV per atom

Lattice parameters (Å, degrees): 3.521 2.872 9.551 62.95 90.00 90.00
Atoms (fractional coordinates):
Ir: 0.000 0.479 0.554
Re: 0.500 0.762 0.698
Tl: 0.000 0.873 0.954
Tl: 0.500 0.385 0.293

---

Entry 4:
The following is a DFT calculation (GGA-PBE) of crystalline Tb2SnPt9 at its relaxed geometry.

Properties
total magnetization = 0.000 μB/atom
symmetry = P4/mmm, No. 123
total energy = -6.441 eV per atom
formation energy from the elements = -805 meV per atom

Lattice parameters (Å, degrees): 4.110 4.110 12.300 90.00 90.00 90.00
Atoms (fractional coordinates):
Tb: 0.000 0.000 0.333
Tb: 0.000 0.000 0.667
Sn: 0.000 0.000 0.000
Pt: 0.500 0.500 0.000
Pt: 0.500 0.500 0.329
Pt: 0.500 0.500 0.671
Pt: 0.500 0.000 0.162
Pt: 0.500 0.000 0.500
Pt: 0.500 0.000 0.838
Pt: 0.000 0.500 0.162
Pt: 0.000 0.500 0.500
Pt: 0.000 0.500 0.838

---

Entry 5:
The following is a DFT calculation (GGA-PBE) of crystalline Y2HgBr at its relaxed geometry.

Properties
total magnetization = 0.001 μB/atom
symmetry = Cmmm, No. 65
total energy = -4.283 eV per atom
energy relative to the elements, uncorrected = -0.5575 eV per atom

Lattice parameters (Å, degrees): 3.571 3.571 9.544 90.00 90.00 114.40
Atoms (fractional coordinates):
Y: 0.000 0.000 0.999
Y: 0.000 0.000 0.501
Hg: 0.500 0.500 0.750
Br: 0.500 0.500 0.250

---

Entry 6:
The following is a DFT calculation (GGA-PBE) of crystalline ZnAs2 at its relaxed geometry.

Properties
total magnetization = 0.000 μB/atom
symmetry = Fm-3m, No. 225
total energy = -3.322 eV per atom
formation energy from the elements = 202 meV per atom

Lattice parameters (Å, degrees): 4.427 4.427 4.427 60.00 60.00 60.00
Atoms (fractional coordinates):
As: 0.750 0.750 0.750
As: 0.250 0.250 0.250
Zn: 0.000 0.000 0.000